SrLa2TlC | GGA-PBE | optimized geometry

Formation energy from the elements = -0.15 eV per atom

a = 5.1993 Å, b = 5.1993 Å, c = 5.4590 Å
α = 90.00°, β = 90.00°, γ = 90.00°
Space group P4/mmm (No. 123)
Asymmetric unit:
Sr 0.0000 0.0000 0.0000 x1
La 0.0000 0.5000 0.5000 x2
Tl 0.5000 0.5000 0.0000 x1
C 0.0000 0.0000 0.5000 x1


NdIn4Au | GGA-PBE | optimized geometry

Formation energy from the elements = -0.28 eV per atom

a = 4.8101 Å, b = 21.2000 Å, c = 6.3065 Å
α = 90.00°, β = 90.00°, γ = 90.00°
Space group Cmc2_1 (No. 36)
Asymmetric unit:
Nd 0.0000 0.1355 0.0000 x4
In 0.0000 0.0728 0.5203 x4
In 0.0000 0.2655 0.6561 x4
In 0.0000 0.3144 0.1511 x4
In 0.0000 0.4673 0.3436 x4
Au 0.0000 0.3994 0.7777 x4


Sr2PmCu3O6 | GGA-PBE | optimized geometry

Formation energy without anion corrections = -1.88 eV per atom

a = 3.8412 Å, b = 3.8412 Å, c = 11.7412 Å
α = 90.00°, β = 90.00°, γ = 90.00°
Space group P4/mmm (No. 123)
Asymmetric unit:
Sr 0.0000 0.0000 0.1957 x2
Pm 0.0000 0.0000 0.5000 x1
Cu 0.5000 0.5000 0.0000 x1
Cu 0.5000 0.5000 0.3503 x2
O 0.0000 0.5000 0.3688 x4
O 0.5000 0.5000 0.1549 x2


LiHoMg2Ag4 | GGA-PBE | optimized geometry

Formation energy from the elements = -0.25 eV per atom

a = 4.7767 Å, b = 4.7767 Å, c = 23.7244 Å
α = 90.00°, β = 90.00°, γ = 120.00°
Space group R-3m (No. 166, hexagonal axes)
Asymmetric unit:
Li 0.0000 0.0000 0.0000 x3
Ho 0.0000 0.0000 0.5000 x3
Mg 0.0000 0.0000 0.2524 x6
Ag 0.0000 0.0000 0.1135 x6
Ag 0.0000 0.0000 0.3720 x6


Sr4CuRh3O12 | GGA-PBE | optimized geometry

Formation energy without anion corrections = -1.49 eV per atom

a = 7.9740 Å, b = 7.9740 Å, c = 7.9740 Å
α = 90.00°, β = 90.00°, γ = 90.00°
Space group Im-3m (No. 229)
Asymmetric unit:
Sr 0.2500 0.2500 0.2500 x8
Cu 0.0000 0.0000 0.0000 x2
Rh 0.0000 0.0000 0.5000 x6
O 0.0000 0.0000 0.2520 x12
O 0.0000 0.2500 0.5000 x12


Ba2Li12Mg3Tl | GGA-PBE | optimized geometry

Formation energy from the elements = 0.08 eV per atom

a = 7.0063 Å, b = 7.0063 Å, c = 33.1744 Å
α = 90.00°, β = 90.00°, γ = 120.00°
Space group R-3m (No. 166, hexagonal axes)
Asymmetric unit:
Ba 0.0000 0.0000 0.1514 x6
Li 0.0560 0.5280 0.0935 x18
Li 0.0760 0.5380 0.6189 x18
Mg 0.0000 0.5000 0.0000 x9
Tl 0.0000 0.0000 0.5000 x3


ErPuGa2 | GGA-PBE | optimized geometry

Formation energy from the elements = -0.39 eV per atom
E above lowest polymorph = 25 meV per atom

a = 5.0615 Å, b = 5.0615 Å, c = 3.5424 Å
α = 90.00°, β = 90.00°, γ = 90.00°
Space group P4/mmm (No. 123)
Asymmetric unit:
Er 0.0000 0.0000 0.0000 x1
Pu 0.5000 0.5000 0.0000 x1
Ga 0.0000 0.5000 0.5000 x2


Pr2Ho2Sb5 | GGA-PBE | optimized geometry

Formation energy without anion corrections = -0.88 eV per atom

a = 16.1193 Å, b = 8.1034 Å, c = 8.2845 Å
α = 90.00°, β = 90.00°, γ = 90.00°
Space group Cmce (No. 64)
Asymmetric unit:
Pr 0.1916 0.0000 0.0000 x8
Ho 0.0000 0.1568 0.3387 x8
Sb 0.0000 0.0000 0.0000 x4
Sb 0.1343 0.1420 0.6426 x16


Ti4SnAu | GGA-PBE | optimized geometry

Formation energy from the elements = 0.01 eV per atom
E above lowest polymorph = 97 meV per atom

a = 5.0826 Å, b = 6.3736 Å, c = 7.7643 Å
α = 81.14°, β = 70.90°, γ = 89.94°
Space group P-1 (No. 2)
Asymmetric unit:
Ti 0.0071 0.4029 0.3132 x2
Ti 0.3181 0.0779 0.1437 x2
Ti 0.3195 0.0978 0.6869 x2
Ti 0.4616 0.4210 0.8568 x2
Sn 0.1108 0.7500 0.9996 x2
Au 0.0000 0.0000 0.5000 x1
Au 0.5000 0.5000 0.5000 x1


CaRh2Au | GGA-PBE | optimized geometry

Formation energy from the elements = 0.22 eV per atom

a = 2.9804 Å, b = 2.9804 Å, c = 27.5715 Å
α = 90.00°, β = 90.00°, γ = 120.00°
Space group R-3m (No. 166, hexagonal axes)
Asymmetric unit:
Ca 0.0000 0.0000 0.0000 x3
Rh 0.0000 0.0000 0.2491 x6
Au 0.0000 0.0000 0.5000 x3


KSnSeF2 | GGA-PBE | optimized geometry

Formation energy without anion corrections = -1.79 eV per atom

a = 4.6128 Å, b = 4.6128 Å, c = 5.3304 Å
α = 90.00°, β = 90.00°, γ = 90.00°
Space group P4/mmm (No. 123)
Asymmetric unit:
K 0.0000 0.0000 0.0000 x1
Sn 0.5000 0.5000 0.5000 x1
Se 0.5000 0.5000 0.0000 x1
F 0.0000 0.5000 0.5000 x2


Ac3HgGe2 | GGA-PBE | optimized geometry

Formation energy from the elements = -0.54 eV per atom
E above lowest polymorph = 0 meV per atom

a = 8.0143 Å, b = 8.0143 Å, c = 22.7429 Å
α = 90.00°, β = 90.00°, γ = 120.00°
Space group R-3c (No. 167, hexagonal axes)
Asymmetric unit:
Ac 0.0000 0.3047 0.2500 x18
Hg 0.0000 0.0000 0.0000 x6
Ge 0.0000 0.0000 0.1568 x12


Ce3Th | GGA-PBE | optimized geometry

Formation energy from the elements = 0.08 eV per atom
E above lowest polymorph = 72 meV per atom

a = 3.3352 Å, b = 5.5476 Å, c = 6.0880 Å
α = 90.00°, β = 90.00°, γ = 90.00°
Space group Pmm2 (No. 25)
Asymmetric unit:
Ce 0.0000 0.0000 0.0000 x1
Ce 0.0000 0.5000 0.2227 x1
Ce 0.5000 0.5000 0.7343 x1
Th 0.5000 0.0000 0.4931 x1


Rb3Tl5Cd2 | GGA-PBE | optimized geometry

Formation energy from the elements = -0.03 eV per atom

a = 13.8677 Å, b = 15.0201 Å, c = 7.5095 Å
α = 90.00°, β = 90.00°, γ = 90.00°
Space group Ibam (No. 72)
Asymmetric unit:
Rb 0.0000 0.0000 0.2500 x4
Rb 0.2296 0.3857 0.0000 x8
Tl 0.0000 0.2490 0.2500 x8
Tl 0.0000 0.5000 0.2500 x4
Tl 0.1330 0.3667 0.5000 x8
Cd 0.1512 0.1567 0.0000 x8